(1)
Entry from Alexandria via LeMat-Bulk: crystalline Rb6AuBr at its relaxed geometry (PBE).

As for the total moment: 0.0 μB per cell. The calculation puts the volume at 1063.45 Å³/cell. The value obtained for the density of states at the Fermi level is 0.65 states/eV per atom. The calculation puts the formation energy without anion corrections at -0.473 eV per atom. As for the total energy: -1.818 eV/atom.

The space group is P-31c (No. 163) and the conventional cell measures 8.6191, 8.6191 and 16.5295 Å, with angles of 90.00, 90.00 and 120.00 degrees. The inequivalent atoms are Rb at (0.0106, 0.3355, 0.1226), Au at (0.0000, 0.0000, 0.0000) and Br at (0.3333, 0.6667, 0.2500).


(2)
Entry from Alexandria via LeMat-Bulk: crystalline Tb2TmHg at its relaxed geometry (PBE).

As for the total moment: 0.0 μB per cell. The calculation puts the volume at 115.02 Å³/cell. The value obtained for the density of states at the Fermi level is 1.21 states/eV per atom. As for the distance to the lowest polymorph of the same formula: 0.0072 eV/atom. The formation energy comes out at -0.2188 eV per atom. As for the total energy: -3.727 eV/atom.

The space group is P4/mmm (No. 123) and the conventional cell measures 3.596, 3.596 and 8.896 Å, with angles of 90.00, 90.00 and 90.00 degrees. The inequivalent atoms are Tb at (0.000, 0.000, 0.226), Tm at (0.500, 0.500, 0.500) and Hg at (0.500, 0.500, 0.000).


(3)
Entry from Alexandria via LeMat-Bulk: crystalline LaNi2Pd at its relaxed geometry (PBE).

As for the total moment: 0.0 μB per cell. The calculation puts the volume at 272.79 Å³/cell. The value obtained for the density of states at the Fermi level is 0.91 states/eV per atom. The formation energy comes out at -0.1824 eV per atom. As for the total energy: -5.603 eV/atom.

The space group is Fm-3m (No. 225) and the conventional cell measures 6.486, 6.486 and 6.486 Å, with angles of 90.00, 90.00 and 90.00 degrees. The inequivalent atoms are La at (0.000, 0.000, 0.000), Ni at (0.250, 0.250, 0.250) and Pd at (0.000, 0.000, 0.500).


(4)
Entry from Alexandria via LeMat-Bulk: crystalline DyAlSn at its relaxed geometry (PBE).

As for the total moment: 0.0 μB per cell. The calculation puts the volume at 71.91 Å³/cell. The value obtained for the density of states at the Fermi level is 0.18 states/eV per atom. The formation energy comes out at -0.4260 eV per atom. As for the total energy: -4.542 eV/atom.

The space group is P3m1 (No. 156) and the conventional cell measures 4.5166, 4.5166 and 4.0703 Å, with angles of 90.00, 90.00 and 120.00 degrees. The inequivalent atoms are Dy at (0.0000, 0.0000, 0.0000), Al at (0.3333, 0.6667, 0.5708) and Sn at (0.6667, 0.3333, 0.4619).


(5)
Entry from Alexandria via LeMat-Bulk: crystalline InTeCl at its relaxed geometry (PBE).

As for the total moment: 0.0 μB per cell. The calculation puts the volume at 101.88 Å³/cell. The calculation puts the formation energy without anion corrections at -0.557 eV per atom. As for the total energy: -3.132 eV/atom.

The space group is P3m1 (No. 156) and the conventional cell measures 4.2026, 4.2026 and 6.6603 Å, with angles of 90.00, 90.00 and 120.00 degrees. The inequivalent atoms are In at (0.0000, 0.0000, 0.0000), Te at (0.3333, 0.6667, 0.2231) and Cl at (0.6667, 0.3333, 0.7559).


(6)
Entry from Alexandria via LeMat-Bulk: crystalline Li2Pm2HoIn2 at its relaxed geometry (PBE).

As for the total moment: 0.0 μB per cell. The calculation puts the volume at 551.06 Å³/cell. The value obtained for the density of states at the Fermi level is 0.84 states/eV per atom. The formation energy comes out at -0.2352 eV per atom. As for the total energy: -3.576 eV/atom.

The space group is R-3m (No. 166, hexagonal axes) and the conventional cell measures 4.8744, 4.8744 and 26.7807 Å, with angles of 90.00, 90.00 and 120.00 degrees. The inequivalent atoms are Li at (0.0000, 0.0000, 0.1095), Pm at (0.0000, 0.0000, 0.3730), Ho at (0.0000, 0.0000, 0.5000) and In at (0.0000, 0.0000, 0.2344).


(7)
Entry from Alexandria via LeMat-Bulk: crystalline Dy4TmRu5 at its relaxed geometry (PBE).

As for the total moment: 0.0 μB per cell. The calculation puts the volume at 194.70 Å³/cell. The value obtained for the density of states at the Fermi level is 1.27 states/eV per atom. The formation energy comes out at -0.3396 eV per atom. As for the total energy: -7.266 eV/atom.

The space group is P4/mmm (No. 123) and the conventional cell measures 3.392, 3.392 and 16.919 Å, with angles of 90.00, 90.00 and 90.00 degrees. The inequivalent atoms are Dy at (0.000, 0.000, 0.100), Dy at (0.000, 0.000, 0.301), Tm at (0.000, 0.000, 0.500), Ru at (0.500, 0.500, 0.000), Ru at (0.500, 0.500, 0.201) and Ru at (0.500, 0.500, 0.402).


(8)
Entry from Alexandria via LeMat-Bulk: crystalline TbNdHgRu at its relaxed geometry (PBE).

As for the total moment: 0.0 μB per cell. The calculation puts the volume at 380.33 Å³/cell. The value obtained for the density of states at the Fermi level is 0.73 states/eV per atom. As for the distance to the lowest polymorph of the same formula: 0.1024 eV/atom. The formation energy comes out at -0.2864 eV per atom. As for the total energy: -5.030 eV/atom.

The space group is F-43m (No. 216) and the conventional cell measures 7.245, 7.245 and 7.245 Å, with angles of 90.00, 90.00 and 90.00 degrees. The inequivalent atoms are Tb at (0.000, 0.000, 0.000), Nd at (0.000, 0.000, 0.500), Hg at (0.250, 0.250, 0.750) and Ru at (0.250, 0.250, 0.250).